TaV | GGA-PBE | relaxed

Energy above the lowest structure with this stoichiometry (meV/atom): 2634
Symmetry: F-43m, No. 216
Calculated formation energy (eV/f.u.): 5.32

Structure (extended XYZ):
```
8
Lattice="5.798 0.000 0.000 0.000 5.798 0.000 0.000 0.000 5.798" Properties=species:S:1:pos:R:3 pbc="T T T"
V 4.348 4.348 1.449
V 4.348 1.449 4.348
V 1.449 4.348 4.348
V 1.449 1.449 1.449
Ta 2.899 2.899 0.000
Ta 2.899 0.000 2.899
Ta 0.000 0.000 0.000
Ta 0.000 2.899 2.899
```